{
  "formula": "CdGaHg2",
  "functional": "PBE-GGA",
  "state": "relaxed",
  "lattice": [[2.2888, 1.3214, 5.6185], [-2.2888, 1.3214, 5.6185], [0.0000, -2.6429, 5.6185]],
  "species": ["Cd", "Ga", "Hg", "Hg"],
  "frac_coords": [[0.0000, 0.0000, 0.0000], [0.1812, 0.1812, 0.1812], [0.5767, 0.5767, 0.5767], [0.7661, 0.7661, 0.7661]],
  "formation_energy_ev_per_atom": 0.07,
  "m_tot_mub_per_cell": 0.0,
  "sg": "R3m (160)"
}

{
  "formula": "Mg2In2Ga",
  "functional": "PBE-GGA",
  "state": "relaxed",
  "lattice": [[-2.1910, 2.1910, 6.7499], [2.1910, -2.1910, 6.7499], [2.1910, 2.1910, -6.7499]],
  "species": ["Mg", "Mg", "In", "In", "Ga"],
  "frac_coords": [[0.2500, 0.7500, 0.5000], [0.7500, 0.2500, 0.5000], [0.1029, 0.1029, 0.0000], [0.8971, 0.8971, 0.0000], [0.5000, 0.5000, 0.0000]],
  "formation_energy_ev_per_atom": 0.14,
  "m_tot_mub_per_cell": 0.0,
  "polymorph_energy_ev_per_atom": 0.137,
  "sg": "I4/mmm (139)"
}

{
  "formula": "Rb2BaTe",
  "functional": "PBE-GGA",
  "state": "relaxed",
  "lattice": [[-6.3696, 6.3696, 3.3851], [6.3696, -6.3696, 3.3851], [6.3696, 6.3696, -3.3851]],
  "species": ["Rb", "Rb", "Rb", "Rb", "Ba", "Ba", "Te", "Te"],
  "frac_coords": [[0.0047, 0.6250, 0.8797], [0.3750, 0.2547, 0.3797], [0.7453, 0.1250, 0.1203], [0.8750, 0.9953, 0.6203], [0.2500, 0.7500, 0.5000], [0.5000, 0.5000, 0.0000], [0.0000, 0.0000, 0.0000], [0.7500, 0.2500, 0.5000]],
  "m_tot_mub_per_cell": 0.0,
  "sg": "I-42d (122)",
  "e_form_raw_ev_per_atom": -0.59
}